Record 1
This record from the Alexandria database describes a relaxed La3InCu crystal. The functional is PBEsol.

The calculation puts the total moment at 0.98 μB/f.u. The calculation puts the formation enthalpy at 0 K at 0.75 eV per atom. As for the density of states at the Fermi level: 1.788 states/eV per atom. The calculation puts the mass density at 4806 kg/m3.

Unit cell a=5.902 b=5.902 c=5.902 alpha=90.00 beta=90.00 gamma=90.00
Sites, in units of the cell vectors:
La1 0.000 0.000 0.500
La2 0.000 0.500 0.000
La3 0.500 0.000 0.000
In1 0.000 0.000 0.000
Cu1 0.500 0.500 0.500

=====

Record 2
This record from the Alexandria database describes a relaxed PmDyMg2 crystal. The functional is PBEsol.

The calculation puts the total moment at 0.00 μB/f.u. The calculation puts the formation enthalpy at 0 K at -0.08 eV per atom. As for the density of states at the Fermi level: 1.038 states/eV per atom. The calculation puts the mass density at 5510 kg/m3.

Unit cell a=5.334 b=5.334 c=5.334 alpha=60.00 beta=60.00 gamma=60.00
Sites, in units of the cell vectors:
Pm1 0.000 0.000 0.000
Dy1 0.500 0.500 0.500
Mg1 0.250 0.250 0.250
Mg2 0.750 0.750 0.750

=====

Record 3
This record from the Alexandria database describes a relaxed Sc2AlIr crystal. The functional is PBEsol.

The calculation puts the total moment at 0.00 μB/f.u. The calculation puts the formation enthalpy at 0 K at -0.03 eV per atom. As for the density of states at the Fermi level: 0.848 states/eV per atom. The calculation puts the mass density at 6366 kg/m3. As for the energy relative to the lowest polymorph listed for this composition: 67.37 kJ per mole of atoms.

Unit cell a=9.826 b=9.826 c=9.826 alpha=18.18 beta=18.18 gamma=18.18
Sites, in units of the cell vectors:
Sc1 0.099 0.099 0.099
Sc2 0.901 0.901 0.901
Al1 0.000 0.000 0.000
Ir1 0.500 0.500 0.500